First-principles (GGA-PBE) data for crystalline LiEuPdAu at its relaxed geometry, as listed in Alexandria via LeMat-Bulk.

a b c (Å): 4.922 4.922 4.922
angles (deg): 60.00 60.00 60.00
Fractional positions:
Li (0.000, 0.000, 0.000)
Eu (0.500, 0.500, 0.500)
Pd (0.250, 0.250, 0.250)
Au (0.750, 0.750, 0.750)

Calculated values
SG   No. 216

---

First-principles (GGA-PBE) data for crystalline CrBiTe2 at its relaxed geometry, as listed in Alexandria via LeMat-Bulk.

a b c (Å): 13.692 13.692 13.692
angles (deg): 13.81 13.81 13.81
Fractional positions:
Cr (0.000, 0.000, 0.000)
Bi (0.500, 0.500, 0.500)
Te (0.065, 0.065, 0.065)
Te (0.935, 0.935, 0.935)

Calculated values
Formation energy (no corrections)   0.5121 eV/atom
SG   No. 166

---

First-principles (GGA-PBE) data for crystalline Sn2Pd6Pb at its relaxed geometry, as listed in Alexandria via LeMat-Bulk.

a b c (Å): 7.521 7.521 3.291
angles (deg): 90.00 90.00 120.00
Fractional positions:
Sn (0.333, 0.667, 0.000)
Sn (0.667, 0.333, 0.000)
Pd (0.000, 0.298, 0.000)
Pd (0.000, 0.621, 0.500)
Pd (0.298, 0.000, 0.000)
Pd (0.379, 0.379, 0.500)
Pd (0.621, 0.000, 0.500)
Pd (0.702, 0.702, 0.000)
Pb (0.000, 0.000, 0.500)

Calculated values
SG   No. 189

---

| no. | density of states at the Fermi level (states/eV per cell) | E (eV/atom) |
| --- | --- | --- |
| 1 | 13.8 | -5.68 |
| 2 | 2.7 | -4.43 |
| 3 | 3.0 | -5.18 |